1.
DFT (GGA-PBE) results for a geometry-optimized LaNdSb2S2 structure.

Geometry as POSCAR:
```
LaNdSb2S2
1.0
4.1758 0.0000 0.0000
0.0000 4.1758 0.0000
0.0000 0.0000 8.9716
La Nd Sb S
1 1 2 2
direct
0.0000 0.0000 0.0000
0.5000 0.5000 0.3834
0.0000 0.5000 0.6879
0.5000 0.0000 0.6879
0.0000 0.0000 0.3209
0.5000 0.5000 0.0629
```

Summary:
Total magnetic moment = 0.00 μB per cell
Density = 6.27 g/cm3
Calculated volume = 156.4 Å³/cell
Total energy = -5.8865 eV/atom

2.
DFT (GGA-PBE) results for a geometry-optimized La2NdSb3 structure.

Geometry as POSCAR:
```
La2NdSb3
1.0
4.5887 0.0000 0.0000
-2.2944 3.9739 0.0000
0.0000 0.0000 11.2640
La Nd Sb
2 1 3
direct
0.3333 0.6667 0.3316
0.6667 0.3333 0.6684
0.0000 0.0000 0.0000
0.0000 0.0000 0.5000
0.3333 0.6667 0.8363
0.6667 0.3333 0.1637
```

Summary:
Total magnetic moment = 0.00 μB per cell
Density = 6.37 g/cm3
Calculated volume = 205.4 Å³/cell
Total energy = -5.7453 eV/atom

3.
DFT (GGA-PBE) results for a geometry-optimized LaNdSb4 structure.

Geometry as POSCAR:
```
LaNdSb4
1.0
4.4504 0.0000 0.0000
0.0000 2.2584 8.7325
0.0000 -2.2584 8.7325
La Nd Sb
1 1 4
direct
0.0000 0.0000 0.0000
0.5000 0.2103 0.2103
0.0000 0.3538 0.3538
0.0000 0.6708 0.6708
0.5000 0.5416 0.5416
0.5000 0.8533 0.8533
```

Summary:
Total magnetic moment = 0.01 μB per cell
Density = 7.29 g/cm3
Calculated volume = 175.5 Å³/cell
Total energy = -5.1938 eV/atom

4.
DFT (GGA-PBE) results for a geometry-optimized LaNdSb2Te2 structure.

Geometry as POSCAR:
```
LaNdSb2Te2
1.0
4.3923 0.0000 0.0000
0.0000 4.3923 0.0000
0.0000 0.0000 9.6022
La Nd Sb Te
1 1 2 2
direct
0.0000 0.0000 0.0000
0.5000 0.5000 0.5522
0.0000 0.5000 0.2797
0.5000 0.0000 0.2797
0.0000 0.0000 0.6493
0.5000 0.5000 0.9015
```

Summary:
Total magnetic moment = 0.01 μB per cell
Density = 7.01 g/cm3
Calculated volume = 185.2 Å³/cell
Total energy = -5.2619 eV/atom